Record 1
DFT (SCAN) results for a PBEsol-optimized structure of Fe2AgAu.

Summary:
Volume ... 56.9 Å³ per cell
Energy relative to the elements ... 60 kJ/mol of formula units
Energy ... -34.0406 eV per atom

Lattice parameters (Å, degrees): 2.699 2.699 7.813 90.00 90.00 90.00
Space group P4/mmm (No. 123)
Asymmetric unit:
Fe  0.000  0.000  0.250 [2 per cell]
Ag  0.500  0.500  0.000 [1 per cell]
Au  0.500  0.500  0.500 [1 per cell]

---

Record 2
DFT (SCAN) results for a PBEsol-optimized structure of AsRhPb2.

Summary:
Volume ... 185.3 Å³ per cell
Energy relative to the elements ... -20 kJ/mol of formula units
Energy ... -51.4323 eV per atom

Lattice parameters (Å, degrees): 3.419 3.713 14.594 90.00 90.00 90.00
Space group Immm (No. 71)
Asymmetric unit:
As  0.000  0.000  0.000 [2 per cell]
Rh  0.000  0.000  0.500 [2 per cell]
Pb  0.000  0.500  0.164 [4 per cell]

---

Record 3
DFT (SCAN) results for a PBEsol-optimized structure of MoPO5.

Summary:
Volume ... 348.5 Å³ per cell
Uncorrected formation energy ... -2240.1 meV/atom
Excess energy over the best structure of this formula in the dataset ... 0.0403 eV per atom
Energy ... -13.1601 eV per atom

Lattice parameters (Å, degrees): 7.289 6.405 7.465 90.00 90.00 90.00
Space group Pnma (No. 62)
Asymmetric unit:
Mo  0.127  0.250  0.250 [4 per cell]
P  0.125  0.750  0.122 [4 per cell]
O  0.050  0.250  0.995 [4 per cell]
O  0.124  0.750  0.692 [4 per cell]
O  0.125  0.558  0.244 [8 per cell]
O  0.201  0.250  0.503 [4 per cell]

---

Record 4
DFT (SCAN) results for a PBEsol-optimized structure of Li2HgI.

Summary:
Volume ... 440.1 Å³ per cell
Uncorrected formation energy ... -555.4 meV/atom
Excess energy over the best structure of this formula in the dataset ... 0.0000 eV per atom
Energy ... -27.9771 eV per atom

Lattice parameters (Å, degrees): 5.125 5.125 16.757 90.00 90.00 90.00
Space group I-42d (No. 122)
Asymmetric unit:
Li  0.241  0.250  0.125 [8 per cell]
Hg  0.000  0.000  0.000 [4 per cell]
I  0.000  0.000  0.500 [4 per cell]

---

Record 5
DFT (SCAN) results for a PBEsol-optimized structure of HF.

Summary:
Volume ... 68.6 Å³ per cell
Excess energy over the best structure of this formula in the dataset ... 0.0000 eV per atom
Energy ... -5.0823 eV per atom

Lattice parameters (Å, degrees): 5.248 3.335 3.923 90.00 92.47 90.00
Space group Cc (No. 9)
Asymmetric unit:
H  0.000  0.015  0.000 [4 per cell]
F  0.000  0.183  0.767 [4 per cell]

---

Record 6
DFT (SCAN) results for a PBEsol-optimized structure of TaCrNF2.

Summary:
Volume ... 67.3 Å³ per cell
Uncorrected formation energy ... -1195.1 meV/atom
Energy ... -21.4630 eV per atom

Lattice parameters (Å, degrees): 4.091 4.091 4.020 90.00 90.00 90.00
Space group P4/mmm (No. 123)
Asymmetric unit:
Ta  0.000  0.000  0.000 [1 per cell]
Cr  0.500  0.500  0.500 [1 per cell]
N  0.000  0.000  0.500 [1 per cell]
F  0.000  0.500  0.000 [2 per cell]

---

Record 7
DFT (SCAN) results for a PBEsol-optimized structure of ZnPtC2Se.

Summary:
Volume ... 72.8 Å³ per cell
Uncorrected formation energy ... 2182.1 meV/atom
Energy ... -22.6151 eV per atom

Lattice parameters (Å, degrees): 3.823 3.823 4.982 90.00 90.00 90.00
Space group P4/mmm (No. 123)
Asymmetric unit:
Zn  0.000  0.000  0.000 [1 per cell]
Pt  0.500  0.500  0.000 [1 per cell]
C  0.000  0.500  0.500 [2 per cell]
Se  0.500  0.500  0.500 [1 per cell]

---

Record 8
DFT (SCAN) results for a PBEsol-optimized structure of Hg3TeMo.

Summary:
Volume ... 146.2 Å³ per cell
Uncorrected formation energy ... 874.7 meV/atom
Energy ... -54.4521 eV per atom

Lattice parameters (Å, degrees): 5.268 5.268 5.268 90.00 90.00 90.00
Space group Pm-3m (No. 221)
Asymmetric unit:
Hg  0.000  0.000  0.500 [3 per cell]
Te  0.500  0.500  0.500 [1 per cell]
Mo  0.000  0.000  0.000 [1 per cell]

---

Record 9
DFT (SCAN) results for a PBEsol-optimized structure of AsP2Ru.

Summary:
Volume ... 177.6 Å³ per cell
Energy relative to the elements ... 18 kJ/mol of formula units
Energy ... -18.9080 eV per atom

Lattice parameters (Å, degrees): 3.1781 3.1781 20.3050 90.00 90.00 120.00
Space group R3m (No. 160, hexagonal axes)
Asymmetric unit:
As  0.0000  0.0000  0.0000 [3 per cell]
P  0.0000  0.0000  0.4979 [3 per cell]
P  0.0000  0.0000  0.7658 [3 per cell]
Ru  0.0000  0.0000  0.2533 [3 per cell]

---

Record 10
DFT (SCAN) results for a PBEsol-optimized structure of ZrReW2.

Summary:
Volume ... 65.4 Å³ per cell
Energy relative to the elements ... 3 kJ/mol of formula units
Excess energy over the best structure of this formula in the dataset ... 0.0906 eV per atom
Energy ... -60.2861 eV per atom

Lattice parameters (Å, degrees): 2.796 4.507 5.276 90.00 100.46 90.00
Space group P2/m (No. 10)
Asymmetric unit:
Zr  0.000  0.000  0.000 [1 per cell]
Re  0.500  0.000  0.500 [1 per cell]
W  0.257  0.500  0.745 [2 per cell]

---

Record 11
DFT (SCAN) results for a PBEsol-optimized structure of La2CoRh.

Summary:
Volume ... 308.4 Å³ per cell
Energy relative to the elements ... -41 kJ/mol of formula units
Excess energy over the best structure of this formula in the dataset ... 0.2166 eV per atom
Energy ... -34.4264 eV per atom

Lattice parameters (Å, degrees): 6.756 6.756 6.756 90.00 90.00 90.00
Space group F-43m (No. 216)
Asymmetric unit:
La  0.000  0.000  0.000 [4 per cell]
La  0.250  0.250  0.250 [4 per cell]
Co  0.000  0.000  0.500 [4 per cell]
Rh  0.250  0.250  0.750 [4 per cell]

---

Record 12
DFT (SCAN) results for a PBEsol-optimized structure of Cu3Ni2.

Summary:
Volume ... 162.2 Å³ per cell
Energy relative to the elements ... 20 kJ/mol of formula units
Excess energy over the best structure of this formula in the dataset ... 0.0000 eV per atom
Energy ... -15.5476 eV per atom

Lattice parameters (Å, degrees): 2.4759 2.4759 30.5458 90.00 90.00 120.00
Space group R-3m (No. 166, hexagonal axes)
Asymmetric unit:
Cu  0.0000  0.0000  0.0000 [3 per cell]
Cu  0.0000  0.0000  0.2006 [6 per cell]
Ni  0.0000  0.0000  0.3998 [6 per cell]